Entry from Alexandria via LeMat-Bulk: a relaxed ZrAlPb2 crystal (GGA-PBE).

Summary:
ΔE_f ... 44 kJ/mol of formula units
Space-group type ... No. 10
Calculated total energy ... -4.81 eV/atom
Magnetization ... 0.000 μB per formula unit

a b c (Å): 3.238 5.321 5.694
angles (deg): 90.00 91.04 90.00
Positions (direct):
Zr 0.000 0.000 0.000
Al 0.500 0.000 0.500
Pb 0.302 0.500 0.751
Pb 0.698 0.500 0.249